# 1
Density functional theory data (PBE) for an optimized crystal structure of ZrAsIr.

Summary:
energy of formation	-0.818	eV per atom

a b c (Å): 4.3832 4.3832 3.0546
angles (deg): 90.00 90.00 120.00
Closest atoms and distances in Å follow each position.
Space group P-6m2 (No. 187)
Asymmetric unit:
Zr 0.0000 0.0000 0.0000 (multiplicity 1)  6 Ir 2.96, 6 As 2.96, 2 Zr 3.05
As 0.6667 0.3333 0.5000 (multiplicity 1)  3 Ir 2.53
Ir 0.3333 0.6667 0.5000 (multiplicity 1)  3 As 2.53


# 2
Density functional theory data (PBE) for an optimized crystal structure of Ho12Co5Sn.

Summary:
energy of formation	-0.297	eV per atom

a b c (Å): 9.3395 9.3645 9.8120
angles (deg): 90.00 90.00 90.00
Closest atoms and distances in Å follow each position.
Space group Immm (No. 71)
Asymmetric unit:
Ho 0.0000 0.1930 0.2089 (multiplicity 8)  2 Co 2.68-2.73
Ho 0.1943 0.5000 0.1865 (multiplicity 8)  3 Co 2.68-2.82
Ho 0.2088 0.3142 0.5000 (multiplicity 8)  2 Co 2.84
Co 0.0000 0.0000 0.0000 (multiplicity 2)  4 Ho 2.73
Co 0.0000 0.3774 0.0000 (multiplicity 4)  1 Co 2.30
Co 0.0000 0.5000 0.3874 (multiplicity 4)  1 Co 2.21
Sn 0.0000 0.0000 0.5000 (multiplicity 2)  12 Ho 3.38-3.53


Q: Which total moment values were calculated for the entries above? A: 0.00, 0.00, in μB/atom.